Compound: TaHIr2Rh
Source: Alexandria
Functional: PBE-GGA
Structure: relaxed

Summary:
The energy above the lowest structure with this stoichiometry is 0.000 eV/atom. For the calculated volume, the calculation gives 12.52 Å³ per atom. Its total energy is -8.477 eV/atom.

a = 3.9782 Å, b = 3.9782 Å, c = 3.9561 Å
α = 90.00°, β = 90.00°, γ = 90.00°
Fractional coordinates of all 5 atoms:
H (0.0000, 0.0000, 0.0000)
Ir (0.0000, 0.5000, 0.0000)
Ir (0.5000, 0.0000, 0.0000)
Rh (0.0000, 0.0000, 0.5000)
Ta (0.5000, 0.5000, 0.5000)

---

Compound: TaHIr2Rh
Source: Alexandria
Functional: PBE-GGA
Structure: relaxed

Summary:
The energy above the lowest structure with this stoichiometry is 0.083 eV/atom. For the calculated volume, the calculation gives 12.56 Å³ per atom. Its total energy is -8.394 eV/atom.

a = 3.9287 Å, b = 3.9287 Å, c = 4.0674 Å
α = 90.00°, β = 90.00°, γ = 90.00°
Fractional coordinates of all 5 atoms:
H (0.0000, 0.0000, 0.0000)
Ir (0.0000, 0.5000, 0.0000)
Ir (0.5000, 0.0000, 0.0000)
Rh (0.5000, 0.5000, 0.5000)
Ta (0.0000, 0.0000, 0.5000)

---

Compound: TbH8Ir2Rh
Source: Alexandria
Functional: PBE-GGA
Structure: relaxed

Summary:
For the calculated volume, the calculation gives 8.73 Å³ per atom. Its total energy is -4.850 eV/atom.

a = 4.6491 Å, b = 4.6491 Å, c = 6.2094 Å
α = 68.02°, β = 68.02°, γ = 60.00°
Fractional coordinates of all 12 atoms:
Tb (0.5000, 0.5000, 0.5000)
H (0.1797, 0.1797, 0.4610)
H (0.6428, 0.2629, 0.1867)
H (0.8203, 0.8203, 0.5390)
H (0.9077, 0.6428, 0.1867)
H (0.0923, 0.3572, 0.8133)
H (0.2629, 0.9077, 0.1867)
H (0.7371, 0.0923, 0.8133)
H (0.3572, 0.7371, 0.8133)
Ir (0.2754, 0.2754, 0.1738)
Ir (0.7246, 0.7246, 0.8262)
Rh (0.0000, 0.0000, 0.0000)

---

Compound: ThHIr2Rh
Source: Alexandria
Functional: PBE-GGA
Structure: relaxed

Summary:
For the calculated volume, the calculation gives 14.72 Å³ per atom. Its total energy is -7.701 eV/atom.

a = 4.2391 Å, b = 4.1661 Å, c = 4.1661 Å
α = 90.00°, β = 90.00°, γ = 90.00°
Fractional coordinates of all 5 atoms:
Th (0.5000, 0.5000, 0.5000)
H (0.0000, 0.0000, 0.0000)
Ir (0.0000, 0.0000, 0.5000)
Ir (0.0000, 0.5000, 0.0000)
Rh (0.5000, 0.0000, 0.0000)

---

Compound: TlH8Ir2Rh
Source: Alexandria
Functional: PBE-GGA
Structure: relaxed

Summary:
For the calculated volume, the calculation gives 10.47 Å³ per atom. Its total energy is -4.404 eV/atom.

a = 4.7305 Å, b = 4.7305 Å, c = 7.0335 Å
α = 70.35°, β = 70.35°, γ = 60.00°
Fractional coordinates of all 12 atoms:
Tl (0.5000, 0.5000, 0.5000)
H (0.2196, 0.2196, 0.3411)
H (0.6378, 0.2339, 0.1737)
H (0.7804, 0.7804, 0.6589)
H (0.9546, 0.6378, 0.1737)
H (0.0454, 0.3622, 0.8263)
H (0.2339, 0.9546, 0.1737)
H (0.7661, 0.0454, 0.8263)
H (0.3622, 0.7661, 0.8263)
Ir (0.3013, 0.3013, 0.0961)
Ir (0.6987, 0.6987, 0.9039)
Rh (0.0000, 0.0000, 0.0000)

---

Compound: UHIrRh2
Source: Alexandria
Functional: PBE-GGA
Structure: relaxed

Summary:
For the calculated volume, the calculation gives 13.62 Å³ per atom. Its total energy is -8.098 eV/atom.

a = 4.0654 Å, b = 4.0924 Å, c = 4.0924 Å
α = 90.00°, β = 90.00°, γ = 90.00°
Last column: magnetic moment on the atom in μB.
Fractional coordinates of all 5 atoms:
U (0.5000, 0.5000, 0.5000)  0.64
H (0.0000, 0.0000, 0.0000)  0.00
Ir (0.5000, 0.0000, 0.0000)  -0.12
Rh (0.0000, 0.0000, 0.5000)  -0.12
Rh (0.0000, 0.5000, 0.0000)  -0.12

---

Compound: VHIrRh2
Source: Alexandria
Functional: PBE-GGA
Structure: relaxed

Summary:
The energy above the lowest structure with this stoichiometry is 0.020 eV/atom. For the calculated volume, the calculation gives 11.70 Å³ per atom. Its total energy is -7.442 eV/atom.

a = 3.8687 Å, b = 3.8687 Å, c = 3.9073 Å
α = 90.00°, β = 90.00°, γ = 90.00°
Last column: magnetic moment on the atom in μB.
Fractional coordinates of all 5 atoms:
H (0.0000, 0.0000, 0.0000)  0.00
Ir (0.0000, 0.0000, 0.5000)  -0.08
Rh (0.0000, 0.5000, 0.0000)  -0.07
Rh (0.5000, 0.0000, 0.0000)  -0.07
V (0.5000, 0.5000, 0.5000)  0.45

---

Compound: VHIrRh2
Source: Alexandria
Functional: PBE-GGA
Structure: relaxed

Summary:
The energy above the lowest structure with this stoichiometry is 0.000 eV/atom. For the calculated volume, the calculation gives 11.59 Å³ per atom. Its total energy is -7.462 eV/atom.

a = 3.8264 Å, b = 3.8264 Å, c = 3.9586 Å
α = 90.00°, β = 90.00°, γ = 90.00°
Fractional coordinates of all 5 atoms:
H (0.0000, 0.0000, 0.0000)
Ir (0.5000, 0.5000, 0.5000)
Rh (0.0000, 0.5000, 0.0000)
Rh (0.5000, 0.0000, 0.0000)
V (0.0000, 0.0000, 0.5000)

---

Compound: HIrRh2W
Source: Alexandria
Functional: PBE-GGA
Structure: relaxed

Summary:
The energy above the lowest structure with this stoichiometry is 0.011 eV/atom. For the calculated volume, the calculation gives 12.17 Å³ per atom. Its total energy is -8.026 eV/atom.

a = 3.8782 Å, b = 3.8782 Å, c = 4.0462 Å
α = 90.00°, β = 90.00°, γ = 90.00°
Fractional coordinates of all 5 atoms:
H (0.0000, 0.0000, 0.0000)
Ir (0.5000, 0.5000, 0.5000)
Rh (0.0000, 0.5000, 0.0000)
Rh (0.5000, 0.0000, 0.0000)
W (0.0000, 0.0000, 0.5000)

---

Compound: HIrRh2W
Source: Alexandria
Functional: PBE-GGA
Structure: relaxed

Summary:
The energy above the lowest structure with this stoichiometry is 0.000 eV/atom. For the calculated volume, the calculation gives 12.18 Å³ per atom. Its total energy is -8.037 eV/atom.

a = 3.9214 Å, b = 3.9214 Å, c = 3.9605 Å
α = 90.00°, β = 90.00°, γ = 90.00°
Fractional coordinates of all 5 atoms:
H (0.0000, 0.0000, 0.0000)
Ir (0.0000, 0.0000, 0.5000)
Rh (0.0000, 0.5000, 0.0000)
Rh (0.5000, 0.0000, 0.0000)
W (0.5000, 0.5000, 0.5000)

---

Compound: Y2HIrRh
Source: Alexandria
Functional: PBE-GGA
Structure: relaxed

Summary:
The energy above the lowest structure with this stoichiometry is 0.027 eV/atom. For the calculated volume, the calculation gives 17.12 Å³ per atom. Its total energy is -7.215 eV/atom.

a = 4.9265 Å, b = 4.9265 Å, c = 3.5279 Å
α = 90.00°, β = 90.00°, γ = 90.00°
Fractional coordinates of all 5 atoms:
Y (0.0000, 0.5000, 0.0000)
Y (0.5000, 0.0000, 0.0000)
H (0.0000, 0.0000, 0.0000)
Ir (0.0000, 0.0000, 0.5000)
Rh (0.5000, 0.5000, 0.5000)

---

Compound: Y2HIrRh
Source: Alexandria
Functional: PBE-GGA
Structure: relaxed

Summary:
The energy above the lowest structure with this stoichiometry is 0.000 eV/atom. For the calculated volume, the calculation gives 16.97 Å³ per atom. Its total energy is -7.242 eV/atom.

a = 4.9272 Å, b = 4.9272 Å, c = 3.4944 Å
α = 90.00°, β = 90.00°, γ = 90.00°
Fractional coordinates of all 5 atoms:
Y (0.0000, 0.5000, 0.0000)
Y (0.5000, 0.0000, 0.0000)
H (0.0000, 0.0000, 0.0000)
Ir (0.5000, 0.5000, 0.5000)
Rh (0.0000, 0.0000, 0.5000)

---

Compound: YHIrRh2
Source: Alexandria
Functional: PBE-GGA
Structure: relaxed

Summary:
For the calculated volume, the calculation gives 13.75 Å³ per atom. Its total energy is -7.107 eV/atom.

a = 4.1164 Å, b = 4.1164 Å, c = 4.0568 Å
α = 90.00°, β = 90.00°, γ = 90.00°
Fractional coordinates of all 5 atoms:
Y (0.5000, 0.5000, 0.5000)
H (0.0000, 0.0000, 0.0000)
Ir (0.0000, 0.0000, 0.5000)
Rh (0.0000, 0.5000, 0.0000)
Rh (0.5000, 0.0000, 0.0000)

---

Compound: ZnHIr2Rh
Source: Alexandria
Functional: PBE-GGA
Structure: relaxed

Summary:
For the calculated volume, the calculation gives 12.06 Å³ per atom. Its total energy is -5.907 eV/atom.

a = 3.9000 Å, b = 3.9000 Å, c = 3.9640 Å
α = 90.00°, β = 90.00°, γ = 90.00°
Fractional coordinates of all 5 atoms:
H (0.0000, 0.0000, 0.0000)
Zn (0.5000, 0.5000, 0.5000)
Ir (0.0000, 0.5000, 0.0000)
Ir (0.5000, 0.0000, 0.0000)
Rh (0.0000, 0.0000, 0.5000)

---

Compound: ZnHIrRh2
Source: Alexandria
Functional: PBE-GGA
Structure: relaxed

Summary:
The energy above the lowest structure with this stoichiometry is 0.083 eV/atom. For the calculated volume, the calculation gives 11.87 Å³ per atom. Its total energy is -5.610 eV/atom.

a = 3.8351 Å, b = 3.8351 Å, c = 4.0364 Å
α = 90.00°, β = 90.00°, γ = 90.00°
Fractional coordinates of all 5 atoms:
H (0.0000, 0.0000, 0.0000)
Zn (0.0000, 0.0000, 0.5000)
Ir (0.5000, 0.5000, 0.5000)
Rh (0.0000, 0.5000, 0.0000)
Rh (0.5000, 0.0000, 0.0000)

---

Compound: ZnHIrRh2
Source: Alexandria
Functional: PBE-GGA
Structure: relaxed

Summary:
The energy above the lowest structure with this stoichiometry is 0.000 eV/atom. For the calculated volume, the calculation gives 11.95 Å³ per atom. Its total energy is -5.692 eV/atom.

a = 3.9216 Å, b = 3.9216 Å, c = 3.8840 Å
α = 90.00°, β = 90.00°, γ = 90.00°
Fractional coordinates of all 5 atoms:
H (0.0000, 0.0000, 0.0000)
Zn (0.5000, 0.5000, 0.5000)
Ir (0.0000, 0.0000, 0.5000)
Rh (0.0000, 0.5000, 0.0000)
Rh (0.5000, 0.0000, 0.0000)

---

Compound: Zr2HIrRh
Source: Alexandria
Functional: PBE-GGA
Structure: relaxed

Summary:
The energy above the lowest structure with this stoichiometry is 0.000 eV/atom. For the calculated volume, the calculation gives 14.80 Å³ per atom. Its total energy is -7.972 eV/atom.

a = 4.4758 Å, b = 4.4758 Å, c = 3.6930 Å
α = 90.00°, β = 90.00°, γ = 90.00°
Fractional coordinates of all 5 atoms:
H (0.0000, 0.0000, 0.0000)
Ir (0.5000, 0.5000, 0.5000)
Rh (0.0000, 0.0000, 0.5000)
Zr (0.0000, 0.5000, 0.0000)
Zr (0.5000, 0.0000, 0.0000)

---

Compound: Zr2HIrRh
Source: Alexandria
Functional: PBE-GGA
Structure: relaxed

Summary:
The energy above the lowest structure with this stoichiometry is 0.038 eV/atom. For the calculated volume, the calculation gives 14.81 Å³ per atom. Its total energy is -7.934 eV/atom.

a = 4.4235 Å, b = 4.4235 Å, c = 3.7834 Å
α = 90.00°, β = 90.00°, γ = 90.00°
Fractional coordinates of all 5 atoms:
H (0.0000, 0.0000, 0.0000)
Ir (0.0000, 0.0000, 0.5000)
Rh (0.5000, 0.5000, 0.5000)
Zr (0.0000, 0.5000, 0.0000)
Zr (0.5000, 0.0000, 0.0000)

---

Compound: HIrRu2
Source: Alexandria
Functional: PBE-GGA
Structure: relaxed

Summary:
The energy above the lowest structure with this stoichiometry is 0.243 eV/atom. For the calculated volume, the calculation gives 11.69 Å³ per atom. Its total energy is -7.378 eV/atom.

a = 5.9912 Å, b = 5.9912 Å, c = 4.9738 Å
α = 52.97°, β = 52.97°, γ = 90.00°
Fractional coordinates of all 8 atoms:
Ru (0.5255, 0.1250, 0.2500)
Ru (0.2245, 0.6250, 0.2500)
Ru (0.3750, 0.4745, 0.7500)
Ru (0.8750, 0.7755, 0.7500)
Ir (0.0000, 0.0000, 0.0000)
Ir (0.7500, 0.2500, 0.5000)
H (0.5000, 0.5000, 0.0000)
H (0.2500, 0.7500, 0.5000)

---

Compound: HIr2Ru
Source: Alexandria
Functional: PBE-GGA
Structure: relaxed

Summary:
The energy above the lowest structure with this stoichiometry is 0.000 eV/atom. For the calculated volume, the calculation gives 11.93 Å³ per atom. Its total energy is -7.198 eV/atom.

a = 6.1295 Å, b = 6.1295 Å, c = 5.0233 Å
α = 52.40°, β = 52.40°, γ = 90.00°
Fractional coordinates of all 8 atoms:
Ru (0.0000, 0.0000, 0.0000)
Ru (0.7500, 0.2500, 0.5000)
Ir (0.5265, 0.1250, 0.2500)
Ir (0.2235, 0.6250, 0.2500)
Ir (0.3750, 0.4735, 0.7500)
Ir (0.8750, 0.7765, 0.7500)
H (0.5000, 0.5000, 0.0000)
H (0.2500, 0.7500, 0.5000)